1.
# GaAs2RuC | Alexandria via LeMat-Bulk | SCAN | PBEsol geometry
data_GaAs2RuC
_space_group_name_H-M_alt 'P 4/m m m'
_space_group_IT_number 123
_space_group_name_Hall '-P 4 2'
_cell_length_a 4.4892
_cell_length_b 4.4892
_cell_length_c 3.8647
_cell_angle_alpha 90.00
_cell_angle_beta 90.00
_cell_angle_gamma 90.00
loop_
_atom_site_label
_atom_site_fract_x
_atom_site_fract_y
_atom_site_fract_z
Ga1 0.0000 0.0000 0.0000
As1 0.0000 0.5000 0.5000
Ru1 0.5000 0.5000 0.0000
C1 0.5000 0.5000 0.5000
# D(E_F): 4.0 states/eV/f.u.
# Spin magnetization: 0.00 μB per cell
# Electronic total energy: -0.713 hartree per atom

***

2.
# GaAsCSe2 | Alexandria via LeMat-Bulk | SCAN | PBEsol geometry
data_GaAsCSe2
_space_group_name_H-M_alt 'P 4/m m m'
_space_group_IT_number 123
_space_group_name_Hall '-P 4 2'
_cell_length_a 4.4677
_cell_length_b 4.4677
_cell_length_c 4.2498
_cell_angle_alpha 90.00
_cell_angle_beta 90.00
_cell_angle_gamma 90.00
loop_
_atom_site_label
_atom_site_fract_x
_atom_site_fract_y
_atom_site_fract_z
Ga1 0.0000 0.0000 0.0000
As1 0.5000 0.5000 0.0000
C1 0.5000 0.5000 0.5000
Se1 0.0000 0.5000 0.5000
# Energy relative to the elements, uncorrected: 1.0639 eV/atom
# D(E_F): 3.5 states/eV/f.u.
# Spin magnetization: 0.00 μB per cell

***

3.
# GeAs2CSe | Alexandria via LeMat-Bulk | SCAN | PBEsol geometry
data_GeAs2CSe
_space_group_name_H-M_alt 'P 4/m m m'
_space_group_IT_number 123
_space_group_name_Hall '-P 4 2'
_cell_length_a 4.8576
_cell_length_b 4.8576
_cell_length_c 4.8288
_cell_angle_alpha 90.00
_cell_angle_beta 90.00
_cell_angle_gamma 90.00
loop_
_atom_site_label
_atom_site_fract_x
_atom_site_fract_y
_atom_site_fract_z
Ge1 0.0000 0.0000 0.0000
As1 0.0000 0.5000 0.0000
C1 0.5000 0.5000 0.5000
Se1 0.0000 0.0000 0.5000
# Energy relative to the elements, uncorrected: 2.0732 eV/atom
# D(E_F): 4.1 states/eV/f.u.
# Spin magnetization: 0.68 μB per cell

***

4.
# InSi2AsH24C8 | Alexandria via LeMat-Bulk | SCAN | PBEsol geometry
data_InSi2AsH24C8
_space_group_name_H-M_alt 'P -1'
_space_group_IT_number 2
_cell_length_a 9.3478
_cell_length_b 9.7621
_cell_length_c 9.8539
_cell_angle_alpha 77.98
_cell_angle_beta 81.34
_cell_angle_gamma 64.36
loop_
_space_group_symop_operation_xyz
'x,y,z'
'-x,-y,-z'
loop_
_atom_site_label
_atom_site_fract_x
_atom_site_fract_y
_atom_site_fract_z
In1 0.0404 0.1537 0.0750
Si1 0.1856 0.1269 0.6572
Si2 0.2592 0.6839 0.2486
As1 0.0173 0.8828 0.1728
H1 0.0191 0.2793 0.4569
H2 0.0817 0.0781 0.4601
H3 0.1260 0.6405 0.7455
H4 0.1379 0.3967 0.6689
H5 0.1566 0.4914 0.3773
H6 0.1739 0.5463 0.9192
H7 0.2027 0.4727 0.1978
H8 0.2174 0.1655 0.3991
H9 0.2293 0.7243 0.4969
H10 0.2657 0.6701 0.8286
H11 0.2843 0.2620 0.7835
H12 0.2921 0.2331 0.0593
H13 0.3243 0.8344 0.3859
H14 0.3327 0.0563 0.1768
H15 0.3329 0.8431 0.6661
H16 0.3354 0.2908 0.6008
H17 0.3586 0.3997 0.3130
H18 0.3615 0.0559 0.9934
H19 0.3871 0.6549 0.0091
H20 0.3996 0.9068 0.7919
H21 0.4209 0.7942 0.0764
H22 0.4330 0.6321 0.4363
H23 0.4625 0.9384 0.6126
H24 0.4686 0.4063 0.8657
C1 0.1193 0.1654 0.4772
C2 0.1550 0.6532 0.8452
C3 0.2406 0.2837 0.6798
C4 0.2420 0.4949 0.2878
C5 0.2856 0.1206 0.0756
C6 0.3155 0.7228 0.4070
C7 0.3610 0.9358 0.6852
C8 0.4135 0.6819 0.1031
# D(E_F): 0.0 states/eV/f.u.
# Spin magnetization: 0.00 μB per cell
# Electronic total energy: -0.249 hartree per atom

***

5.
# ZnSi4As2H36C12 | Alexandria via LeMat-Bulk | SCAN | PBEsol geometry
data_ZnSi4As2H36C12
_space_group_name_H-M_alt 'P -1'
_space_group_IT_number 2
_cell_length_a 9.8021
_cell_length_b 10.8275
_cell_length_c 12.3921
_cell_angle_alpha 92.61
_cell_angle_beta 105.44
_cell_angle_gamma 104.45
loop_
_space_group_symop_operation_xyz
'x,y,z'
'-x,-y,-z'
loop_
_atom_site_label
_atom_site_fract_x
_atom_site_fract_y
_atom_site_fract_z
Zn1 0.0167 0.3825 0.0933
Si1 0.1322 0.3283 0.8482
Si2 0.1400 0.8076 0.7143
Si3 0.2637 0.3214 0.3390
Si4 0.2788 0.7980 0.2001
As1 0.0486 0.2080 0.1980
As2 0.0733 0.6219 0.1129
H1 0.0231 0.2083 0.6549
H2 0.0286 0.9109 0.5492
H3 0.0421 0.6252 0.5582
H4 0.0672 0.3770 0.6476
H5 0.0855 0.0943 0.8729
H6 0.1388 0.0285 0.6653
H7 0.1443 0.5794 0.6844
H8 0.1742 0.9837 0.1506
H9 0.1771 0.1914 0.0043
H10 0.1940 0.4543 0.4759
H11 0.2071 0.5323 0.3537
H12 0.2099 0.2972 0.6770
H13 0.2120 0.9138 0.0329
H14 0.2160 0.8743 0.3695
H15 0.2241 0.9527 0.5808
H16 0.2363 0.1834 0.4929
H17 0.2382 0.6772 0.6000
H18 0.2735 0.5601 0.8725
H19 0.2771 0.1742 0.9054
H20 0.3045 0.7492 0.3993
H21 0.3071 0.4940 0.0032
H22 0.3278 0.1229 0.4049
H23 0.3287 0.9524 0.8786
H24 0.3303 0.7893 0.8896
H25 0.3592 0.0148 0.1438
H26 0.3704 0.5305 0.4609
H27 0.3822 0.4330 0.2019
H28 0.3933 0.4582 0.9002
H29 0.4100 0.9075 0.3928
H30 0.4116 0.8754 0.7929
H31 0.4150 0.2791 0.2145
H32 0.4252 0.2592 0.5076
H33 0.4335 0.7285 0.0912
H34 0.4565 0.1695 0.7820
H35 0.4579 0.6657 0.2239
H36 0.4823 0.5901 0.6781
C1 0.1047 0.3005 0.6923
C2 0.1319 0.9369 0.6186
C3 0.1404 0.6583 0.6315
C4 0.1706 0.1838 0.9138
C5 0.2532 0.9402 0.1251
C6 0.2576 0.4736 0.4145
C7 0.2908 0.4737 0.9119
C8 0.3037 0.8349 0.3547
C9 0.3180 0.2116 0.4459
C10 0.3187 0.8612 0.8299
C11 0.4081 0.3646 0.2624
C12 0.4433 0.7507 0.1812
# D(E_F): 0.0 states/eV/f.u.
# Spin magnetization: 0.00 μB per cell
# Electronic total energy: -0.235 hartree per atom

***

6.
# HfAsC3 | Alexandria via LeMat-Bulk | SCAN | PBEsol geometry
data_HfAsC3
_space_group_name_H-M_alt 'P m -3 m'
_space_group_IT_number 221
_space_group_name_Hall '-P 4 2 3'
_cell_length_a 3.8337
_cell_length_b 3.8337
_cell_length_c 3.8337
_cell_angle_alpha 90.00
_cell_angle_beta 90.00
_cell_angle_gamma 90.00
loop_
_atom_site_label
_atom_site_fract_x
_atom_site_fract_y
_atom_site_fract_z
Hf1 0.0000 0.0000 0.0000
As1 0.5000 0.5000 0.5000
C1 0.0000 0.5000 0.5000
# D(E_F): 2.7 states/eV/f.u.
# Spin magnetization: 0.00 μB per cell
# Electronic total energy: -0.762 hartree per atom

***

7.
# TiHgAs2C | Alexandria via LeMat-Bulk | SCAN | PBEsol geometry
data_TiHgAs2C
_space_group_name_H-M_alt 'P 4/m m m'
_space_group_IT_number 123
_space_group_name_Hall '-P 4 2'
_cell_length_a 4.3359
_cell_length_b 4.3359
_cell_length_c 4.4463
_cell_angle_alpha 90.00
_cell_angle_beta 90.00
_cell_angle_gamma 90.00
loop_
_atom_site_label
_atom_site_fract_x
_atom_site_fract_y
_atom_site_fract_z
Ti1 0.0000 0.0000 0.0000
Hg1 0.5000 0.5000 0.0000
As1 0.0000 0.5000 0.5000
C1 0.5000 0.5000 0.5000
# D(E_F): 3.8 states/eV/f.u.
# Spin magnetization: 1.18 μB per cell
# Electronic total energy: -0.951 hartree per atom

***

8.
# AsCI3 | Alexandria via LeMat-Bulk | SCAN | PBEsol geometry
data_AsCI3
_space_group_name_H-M_alt 'P m -3 m'
_space_group_IT_number 221
_space_group_name_Hall '-P 4 2 3'
_cell_length_a 4.9312
_cell_length_b 4.9312
_cell_length_c 4.9312
_cell_angle_alpha 90.00
_cell_angle_beta 90.00
_cell_angle_gamma 90.00
loop_
_atom_site_label
_atom_site_fract_x
_atom_site_fract_y
_atom_site_fract_z
As1 0.0000 0.0000 0.0000
C1 0.5000 0.5000 0.5000
I1 0.0000 0.5000 0.5000
# Energy relative to the elements, uncorrected: 1.4419 eV/atom
# D(E_F): 2.1 states/eV/f.u.
# Spin magnetization: 0.00 μB per cell
# E above lowest polymorph: 0.0 meV/atom